Here is Pm4CoSn3 after structural relaxation from Alexandria. Energies are from GGA-PBE.

## Properties
* DFT formation energy: -0.53 eV per atom
* total energy: -5.297 eV/atom
* M_tot: 0.054 μB/atom
* calculated density: 7.4 g/cm3
* crystal system: orthorhombic

```
Pm4CoSn3
1.0
4.406 0.000 0.000
0.000 4.453 0.000
0.000 0.000 11.324
Pm Co Sn
4 1 3
Cartesian
0.000 0.000 0.000
0.000 2.227 5.152
2.203 0.000 7.842
2.203 2.227 2.269
0.000 0.000 2.976
0.000 2.227 8.416
2.203 0.000 4.597
2.203 2.227 10.437
```